1.
Density functional theory data (PBE-GGA) for GaSiH2 after structural relaxation.

a = 4.068 Å, b = 5.129 Å, c = 6.008 Å
α = 65.96°, β = 87.16°, γ = 89.48°
Space group P1 (No. 1)
Unique sites:
Ga  0.000  0.000  0.000
Ga  0.498  0.242  0.119
Si  0.291  0.984  0.544
Si  0.507  0.764  0.935
H  0.053  0.761  0.545
H  0.064  0.205  0.580
H  0.582  0.523  0.443
H  0.623  0.497  0.572

Results
**Relative energy among the computed polymorphs**: 0.16 eV per formula unit
**Spin magnetization**: 0.00 μB per cell
**N(E_F)**: 0.3 states/eV per cell
**Total DFT energy (no corrections)**: -3.61 eV per atom

***

2.
Density functional theory data (PBE-GGA) for Ce2Tl2Pb after structural relaxation.

a = 15.405 Å, b = 4.614 Å, c = 4.131 Å
α = 90.00°, β = 93.35°, γ = 90.00°
Space group C2/m (No. 12)
Unique sites:
Ce  0.090  0.000  0.017
Tl  0.207  0.500  0.668
Pb  0.000  0.500  0.500

Results
**Relative energy among the computed polymorphs**: 0.00 eV per formula unit
**Spin magnetization**: 3.97 μB per cell
**N(E_F)**: 19.5 states/eV per cell
**E_form**: -0.215 eV/atom
**Total DFT energy (no corrections)**: -4.28 eV per atom

***

3.
Density functional theory data (PBE-GGA) for RbNiS after structural relaxation.

a = 3.347 Å, b = 3.347 Å, c = 11.607 Å
α = 90.00°, β = 90.00°, γ = 90.00°
Space group I4mm (No. 107)
Unique sites:
Rb  0.000  0.000  0.000
Ni  0.000  0.000  0.259
S  0.000  0.000  0.728

Results
**Spin magnetization**: 0.35 μB per cell
**N(E_F)**: 3.4 states/eV per cell
**Formation energy (no corrections)**: -0.638 eV/f.u.
**Total DFT energy (no corrections)**: -3.84 eV per atom

***

4.
Density functional theory data (PBE-GGA) for AlNi2Pt6 after structural relaxation.

a = 8.488 Å, b = 3.917 Å, c = 8.124 Å
α = 90.00°, β = 105.45°, γ = 90.00°
Space group C2/m (No. 12)
Unique sites:
Al  0.000  0.000  0.000
Ni  0.174  0.500  0.228
Pt  0.003  0.000  0.317
Pt  0.162  0.500  0.898
Pt  0.165  0.500  0.555

Results
**Relative energy among the computed polymorphs**: 0.23 eV per formula unit
**Spin magnetization**: 2.82 μB per cell
**N(E_F)**: 24.2 states/eV per cell
**E_form**: -0.345 eV/atom
**Total DFT energy (no corrections)**: -6.07 eV per atom